The following is a DFT calculation (PBE) of an optimized crystal structure of Pm2Dy7Ho2.

Output
ρ	8.15	g/cm3
calculated formation energy	0.160	eV per atom
space group	C2/m, No. 12
excess energy over the best structure of this formula in the dataset	42	meV per atom

Cell and atoms, written as POSCAR:
```
Pm2Dy7Ho2
1.0
5.715 1.108 1.599
0.425 7.916 1.298
0.425 -1.565 7.868
Pm Dy Ho
2 7 2
Cartesian
3.282 1.026 7.256
3.282 6.434 3.509
1.265 -0.241 5.003
5.300 2.691 9.234
5.300 7.701 5.763
1.265 4.769 1.531
0.000 0.000 0.000
3.994 5.510 7.952
2.571 1.949 2.813
4.955 3.491 5.037
1.610 3.969 5.728
```